Computed, not measured: a geometry-optimized NdAl4Pt2Rh structure at the GGA-PBE level of DFT.

Summary:
The space-group type is No. 166. The calculation puts the spin magnetization at 0.00 μB/f.u. The total energy is -5.845 eV/atom.

Unit cell a=4.262 b=4.262 c=9.287 alpha=76.73 beta=76.73 gamma=60.00
Atoms (fractional coordinates):
Rh (0.500, 0.500, 0.500)
Pt (0.767, 0.767, 0.698)
Nd (0.000, 0.000, 0.000)
Al (0.134, 0.134, 0.599)
Al (0.595, 0.595, 0.214)
Pt (0.233, 0.233, 0.302)
Al (0.866, 0.866, 0.401)
Al (0.405, 0.405, 0.786)



Computed, not measured: a geometry-optimized Nd2Al4PtRh3 structure at the GGA-PBE level of DFT.

Summary:
The space-group type is No. 115. The calculation puts the spin magnetization at 0.00 μB/f.u. The total energy is -6.200 eV/atom.

Unit cell a=4.267 b=4.267 c=10.293 alpha=90.00 beta=90.00 gamma=90.00
Atoms (fractional coordinates):
Rh (0.000, 0.000, 0.500)
Rh (0.000, 0.500, 0.130)
Pt (0.500, 0.500, 0.500)
Rh (0.500, 0.000, 0.870)
Al (0.500, 0.500, 0.000)
Nd (0.000, 0.500, 0.745)
Nd (0.500, 0.000, 0.255)
Al (0.000, 0.500, 0.373)
Al (0.500, 0.000, 0.627)
Al (0.000, 0.000, 0.000)



Computed, not measured: a geometry-optimized Nd2Al3Pt12Rh structure at the GGA-PBE level of DFT.

Summary:
The space-group type is No. 166. The calculation puts the spin magnetization at 0.00 μB/f.u. The total energy is -5.963 eV/atom.

Unit cell a=7.966 b=7.966 c=7.966 alpha=61.01 beta=61.01 gamma=61.01
Atoms (fractional coordinates):
Nd (0.621, 0.621, 0.621)
Pt (0.629, 0.629, 0.119)
Pt (0.131, 0.615, 0.131)
Pt (0.385, 0.869, 0.869)
Nd (0.379, 0.379, 0.379)
Pt (0.119, 0.629, 0.629)
Pt (0.371, 0.881, 0.371)
Al (0.000, 0.500, 0.000)
Pt (0.371, 0.371, 0.881)
Al (0.500, 0.000, 0.000)
Pt (0.131, 0.131, 0.615)
Pt (0.869, 0.869, 0.385)
Pt (0.615, 0.131, 0.131)
Al (0.000, 0.000, 0.500)
Rh (0.000, 0.000, 0.000)
Pt (0.881, 0.371, 0.371)
Pt (0.869, 0.385, 0.869)
Pt (0.629, 0.119, 0.629)



Computed, not measured: a geometry-optimized NdAl4PtRh2 structure at the GGA-PBE level of DFT.

Summary:
The space-group type is No. 166. The calculation puts the spin magnetization at 0.00 μB/f.u. The total energy is -5.928 eV/atom.

Unit cell a=4.239 b=4.239 c=9.318 alpha=76.85 beta=76.85 gamma=60.00
Atoms (fractional coordinates):
Al (0.869, 0.869, 0.392)
Pt (0.500, 0.500, 0.500)
Rh (0.770, 0.770, 0.690)
Al (0.131, 0.131, 0.608)
Al (0.405, 0.405, 0.786)
Al (0.595, 0.595, 0.214)
Rh (0.230, 0.230, 0.310)
Nd (0.000, 0.000, 0.000)



Computed, not measured: a geometry-optimized Nd2Al4RuPt3 structure at the GGA-PBE level of DFT.

Summary:
The space-group type is No. 115. The calculation puts the spin magnetization at 0.00 μB/f.u. The total energy is -6.203 eV/atom.

Unit cell a=4.336 b=4.336 c=10.136 alpha=90.00 beta=90.00 gamma=90.00
Atoms (fractional coordinates):
Ru (0.500, 0.500, 0.500)
Pt (0.000, 0.000, 0.500)
Al (0.000, 0.500, 0.378)
Al (0.500, 0.000, 0.622)
Pt (0.500, 0.000, 0.869)
Nd (0.500, 0.000, 0.261)
Al (0.000, 0.000, 0.000)
Nd (0.000, 0.500, 0.739)
Al (0.500, 0.500, 0.000)
Pt (0.000, 0.500, 0.131)



Computed, not measured: a geometry-optimized Nd2AlSbPt6 structure at the GGA-PBE level of DFT.

Summary:
As for the uncorrected formation energy: -819 meV/atom. The space-group type is No. 2. The calculation puts the spin magnetization at 0.00 μB/f.u. The total energy is -6.184 eV/atom.

Unit cell a=5.499 b=8.790 c=6.774 alpha=49.51 beta=66.04 gamma=89.96
Atoms (fractional coordinates):
Sb (0.000, 0.000, 0.000)
Pt (0.736, 0.726, 0.026)
Nd (0.756, 0.288, 0.489)
Nd (0.244, 0.712, 0.511)
Pt (0.259, 0.100, 0.487)
Al (0.500, 0.500, 0.000)
Pt (0.237, 0.725, 0.030)
Pt (0.264, 0.274, 0.974)
Pt (0.763, 0.275, 0.970)
Pt (0.741, 0.900, 0.513)



Computed, not measured: a geometry-optimized Nd2ScAlPt6 structure at the GGA-PBE level of DFT.

Summary:
The space-group type is No. 166. The calculation puts the spin magnetization at 0.00 μB/f.u. The total energy is -6.491 eV/atom.

Unit cell a=5.678 b=8.745 c=8.745 alpha=37.89 beta=71.05 gamma=90.00
Atoms (fractional coordinates):
Pt (0.746, 0.756, 0.010)
Sc (0.500, 0.500, 0.000)
Pt (0.254, 0.244, 0.990)
Pt (0.244, 0.756, 0.010)
Al (0.000, 0.000, 0.000)
Pt (0.756, 0.244, 0.990)
Pt (0.244, 0.254, 0.512)
Nd (0.705, 0.295, 0.589)
Nd (0.295, 0.705, 0.411)
Pt (0.756, 0.746, 0.488)



Computed, not measured: a geometry-optimized NdScAlPt2 structure at the GGA-PBE level of DFT.

Summary:
The space-group type is No. 119. The calculation puts the spin magnetization at 0.00 μB/f.u. The total energy is -6.475 eV/atom.

Unit cell a=4.173 b=4.173 c=6.693 alpha=108.16 beta=108.16 gamma=90.00
Atoms (fractional coordinates):
Sc (0.750, 0.250, 0.500)
Al (0.250, 0.750, 0.500)
Pt (0.614, 0.614, 0.227)
Pt (0.386, 0.386, 0.773)
Nd (0.000, 0.000, 0.000)



Computed, not measured: a geometry-optimized Nd2ScAl3Pt4 structure at the GGA-PBE level of DFT.

Summary:
The space-group type is No. 115. The calculation puts the spin magnetization at 0.00 μB/f.u. The total energy is -6.225 eV/atom.

Unit cell a=4.328 b=4.328 c=10.695 alpha=90.00 beta=90.00 gamma=90.00
Atoms (fractional coordinates):
Al (0.000, 0.000, 0.500)
Al (0.500, 0.000, 0.879)
Nd (0.000, 0.500, 0.764)
Pt (0.500, 0.500, 0.000)
Al (0.000, 0.500, 0.121)
Pt (0.000, 0.500, 0.355)
Pt (0.000, 0.000, 0.000)
Sc (0.500, 0.500, 0.500)
Pt (0.500, 0.000, 0.645)
Nd (0.500, 0.000, 0.236)



Computed, not measured: a geometry-optimized Nd2ScAl4Pt3 structure at the GGA-PBE level of DFT.

Summary:
The space-group type is No. 115. The calculation puts the spin magnetization at 0.00 μB/f.u. The total energy is -5.847 eV/atom.

Unit cell a=4.240 b=4.240 c=11.244 alpha=90.00 beta=90.00 gamma=90.00
Atoms (fractional coordinates):
Nd (0.500, 0.000, 0.237)
Pt (0.000, 0.000, 0.500)
Nd (0.000, 0.500, 0.763)
Pt (0.000, 0.500, 0.125)
Al (0.000, 0.500, 0.345)
Al (0.500, 0.000, 0.655)
Al (0.500, 0.500, 0.000)
Sc (0.500, 0.500, 0.500)
Al (0.000, 0.000, 0.000)
Pt (0.500, 0.000, 0.875)



Computed, not measured: a geometry-optimized Nd3AlSi2Pt9 structure at the GGA-PBE level of DFT.

Summary:
As for the uncorrected formation energy: -796 meV/atom. The space-group type is No. 164. The calculation puts the spin magnetization at 0.00 μB/f.u. The total energy is -6.346 eV/atom.

Unit cell a=6.364 b=6.364 c=8.940 alpha=90.00 beta=90.00 gamma=120.00
Atoms (fractional coordinates):
Pt (0.144, 0.856, 0.285)
Pt (0.856, 0.144, 0.715)
Nd (0.333, 0.667, 0.691)
Pt (0.856, 0.712, 0.715)
Nd (0.667, 0.333, 0.309)
Al (0.000, 0.000, 0.500)
Pt (0.144, 0.288, 0.285)
Pt (0.000, 0.500, 0.000)
Pt (0.288, 0.144, 0.715)
Si (0.667, 0.333, 0.818)
Si (0.333, 0.667, 0.182)
Nd (0.000, 0.000, 0.000)
Pt (0.712, 0.856, 0.285)
Pt (0.500, 0.500, 0.000)
Pt (0.500, 0.000, 0.000)



Computed, not measured: a geometry-optimized Nd2Al3SiPt4 structure at the GGA-PBE level of DFT.

Summary:
As for the uncorrected formation energy: -1116 meV/atom. The space-group type is No. 115. The calculation puts the spin magnetization at 0.00 μB/f.u. The total energy is -6.151 eV/atom.

Unit cell a=4.306 b=4.306 c=10.199 alpha=90.00 beta=90.00 gamma=90.00
Atoms (fractional coordinates):
Si (0.500, 0.500, 0.500)
Nd (0.500, 0.000, 0.256)
Pt (0.000, 0.500, 0.375)
Nd (0.000, 0.500, 0.744)
Pt (0.500, 0.500, 0.000)
Al (0.500, 0.000, 0.871)
Al (0.000, 0.000, 0.500)
Pt (0.500, 0.000, 0.625)
Pt (0.000, 0.000, 0.000)
Al (0.000, 0.500, 0.129)



Computed, not measured: a geometry-optimized Nd3Al2SiPt9 structure at the GGA-PBE level of DFT.

Summary:
As for the uncorrected formation energy: -725 meV/atom. The space-group type is No. 164. The calculation puts the spin magnetization at 0.00 μB/f.u. The total energy is -6.164 eV/atom.

Unit cell a=6.600 b=6.600 c=8.365 alpha=90.00 beta=90.00 gamma=120.00
Atoms (fractional coordinates):
Pt (0.000, 0.500, 0.000)
Pt (0.500, 0.000, 0.000)
Pt (0.140, 0.281, 0.291)
Pt (0.500, 0.500, 0.000)
Pt (0.719, 0.860, 0.291)
Al (0.667, 0.333, 0.807)
Nd (0.000, 0.000, 0.000)
Pt (0.860, 0.719, 0.709)
Pt (0.281, 0.140, 0.709)
Nd (0.333, 0.667, 0.698)
Nd (0.667, 0.333, 0.302)
Pt (0.140, 0.860, 0.291)
Si (0.000, 0.000, 0.500)
Al (0.333, 0.667, 0.193)
Pt (0.860, 0.140, 0.709)



Computed, not measured: a geometry-optimized Nd2AlSi4Pt3 structure at the GGA-PBE level of DFT.

Summary:
As for the uncorrected formation energy: -1020 meV/atom. The space-group type is No. 115. The calculation puts the spin magnetization at 0.00 μB/f.u. The total energy is -6.329 eV/atom.

Unit cell a=4.205 b=4.205 c=10.229 alpha=90.00 beta=90.00 gamma=90.00
Atoms (fractional coordinates):
Si (0.000, 0.000, 0.000)
Nd (0.500, 0.000, 0.244)
Nd (0.000, 0.500, 0.756)
Pt (0.000, 0.500, 0.120)
Pt (0.500, 0.000, 0.880)
Pt (0.000, 0.000, 0.500)
Si (0.000, 0.500, 0.357)
Si (0.500, 0.000, 0.643)
Al (0.500, 0.500, 0.500)
Si (0.500, 0.500, 0.000)



Computed, not measured: a geometry-optimized Nd2SmAl4Pt3 structure at the GGA-PBE level of DFT.

Summary:
The space-group type is No. 115. The calculation puts the spin magnetization at 0.00 μB/f.u. The total energy is -5.616 eV/atom.

Unit cell a=4.306 b=4.306 c=11.545 alpha=90.00 beta=90.00 gamma=90.00
Atoms (fractional coordinates):
Sm (0.500, 0.500, 0.500)
Al (0.000, 0.000, 0.000)
Pt (0.000, 0.500, 0.117)
Al (0.000, 0.500, 0.328)
Nd (0.000, 0.500, 0.774)
Al (0.500, 0.000, 0.672)
Nd (0.500, 0.000, 0.226)
Pt (0.000, 0.000, 0.500)
Pt (0.500, 0.000, 0.883)
Al (0.500, 0.500, 0.000)



Computed, not measured: a geometry-optimized Nd3Al2SnPt9 structure at the GGA-PBE level of DFT.

Summary:
The space-group type is No. 164. The calculation puts the spin magnetization at 0.00 μB/f.u. The total energy is -6.156 eV/atom.

Unit cell a=5.697 b=5.697 c=11.979 alpha=90.00 beta=90.00 gamma=120.00
Atoms (fractional coordinates):
Nd (0.000, 0.000, 0.000)
Pt (0.500, 0.000, 0.000)
Pt (0.500, 0.500, 0.000)
Pt (0.331, 0.166, 0.683)
Pt (0.834, 0.669, 0.683)
Al (0.333, 0.667, 0.162)
Nd (0.333, 0.667, 0.766)
Pt (0.834, 0.166, 0.683)
Al (0.667, 0.333, 0.838)
Pt (0.000, 0.500, 0.000)
Sn (0.000, 0.000, 0.500)
Pt (0.669, 0.834, 0.317)
Pt (0.166, 0.331, 0.317)
Nd (0.667, 0.333, 0.234)
Pt (0.166, 0.834, 0.317)



Computed, not measured: a geometry-optimized Nd2AlSnPt6 structure at the GGA-PBE level of DFT.

Summary:
The space-group type is No. 166. The calculation puts the spin magnetization at 0.00 μB/f.u. The total energy is -6.184 eV/atom.

Unit cell a=8.847 b=5.666 c=5.663 alpha=59.95 beta=71.37 gamma=89.99
Atoms (fractional coordinates):
Pt (0.732, 0.744, 0.012)
Pt (0.268, 0.256, 0.988)
Al (0.500, 0.500, 0.000)
Pt (0.267, 0.755, 0.988)
Sn (0.000, 0.000, 0.000)
Pt (0.733, 0.744, 0.512)
Pt (0.733, 0.245, 0.012)
Nd (0.391, 0.797, 0.405)
Nd (0.609, 0.203, 0.595)
Pt (0.267, 0.256, 0.488)



Computed, not measured: a geometry-optimized Nd2TiAlPt6 structure at the GGA-PBE level of DFT.

Summary:
The space-group type is No. 166. The calculation puts the spin magnetization at 0.00 μB/f.u. The total energy is -6.558 eV/atom.

Unit cell a=5.751 b=8.300 c=8.301 alpha=40.54 beta=69.73 gamma=90.00
Atoms (fractional coordinates):
Ti (0.500, 0.500, 0.000)
Al (0.000, 0.000, 0.000)
Pt (0.752, 0.751, 0.998)
Pt (0.249, 0.248, 0.501)
Pt (0.248, 0.249, 0.002)
Nd (0.208, 0.792, 0.584)
Nd (0.792, 0.208, 0.416)
Pt (0.751, 0.752, 0.499)
Pt (0.249, 0.751, 0.998)
Pt (0.751, 0.249, 0.002)



Computed, not measured: a geometry-optimized Nd2TiAl3Pt4 structure at the GGA-PBE level of DFT.

Summary:
The space-group type is No. 115. The calculation puts the spin magnetization at 0.35 μB/f.u. The total energy is -6.342 eV/atom.

Unit cell a=4.325 b=4.325 c=10.410 alpha=90.00 beta=90.00 gamma=90.00
Atoms (fractional coordinates):
Pt (0.000, 0.500, 0.364)
Nd (0.500, 0.000, 0.244)
Pt (0.500, 0.000, 0.636)
Nd (0.000, 0.500, 0.756)
Pt (0.500, 0.500, 0.000)
Pt (0.000, 0.000, 0.000)
Ti (0.500, 0.500, 0.500)
Al (0.000, 0.500, 0.124)
Al (0.500, 0.000, 0.876)
Al (0.000, 0.000, 0.500)



Computed, not measured: a geometry-optimized NdTiAlPt2 structure at the GGA-PBE level of DFT.

Summary:
The space-group type is No. 119. The calculation puts the spin magnetization at 0.00 μB/f.u. The total energy is -6.718 eV/atom.

Unit cell a=4.145 b=4.145 c=6.477 alpha=108.66 beta=108.66 gamma=90.00
Atoms (fractional coordinates):
Al (0.750, 0.250, 0.500)
Nd (0.000, 0.000, 0.000)
Ti (0.250, 0.750, 0.500)
Pt (0.383, 0.383, 0.767)
Pt (0.617, 0.617, 0.233)



Computed, not measured: a geometry-optimized Nd2TmAl3Pt4 structure at the GGA-PBE level of DFT.

Summary:
The space-group type is No. 115. The calculation puts the spin magnetization at 0.00 μB/f.u. The total energy is -6.018 eV/atom.

Unit cell a=4.364 b=4.364 c=10.839 alpha=90.00 beta=90.00 gamma=90.00
Atoms (fractional coordinates):
Pt (0.500, 0.000, 0.652)
Tm (0.500, 0.500, 0.500)
Al (0.500, 0.000, 0.882)
Nd (0.500, 0.000, 0.231)
Al (0.000, 0.500, 0.118)
Pt (0.500, 0.500, 0.000)
Pt (0.000, 0.000, 0.000)
Pt (0.000, 0.500, 0.348)
Nd (0.000, 0.500, 0.769)
Al (0.000, 0.000, 0.500)



Computed, not measured: a geometry-optimized NdYAlPt structure at the GGA-PBE level of DFT.

Summary:
The space-group type is No. 216. The calculation puts the spin magnetization at 0.00 μB/f.u. The total energy is -5.916 eV/atom.

Unit cell a=5.127 b=5.127 c=5.127 alpha=60.00 beta=60.00 gamma=60.00
Atoms (fractional coordinates):
Y (0.000, 0.000, 0.000)
Pt (0.250, 0.250, 0.250)
Nd (0.500, 0.500, 0.500)
Al (0.750, 0.750, 0.750)